# YTiGe

A geometry-optimized YTiGe structure (GGA-PBEsol, Alexandria via LeMat-Bulk).

Output
The total magnetization comes out at 0.44 μB per atom. The value obtained for the uncorrected energy is -7.418 eV per atom.

Cell lengths 3.996, 3.996, 8.140 Å; angles 104.21, 104.21, 90.00 degrees
Positions (direct):
Y1 0.675 0.675 0.349
Y2 0.325 0.325 0.651
Ge1 0.877 0.877 0.755
Ge2 0.123 0.123 0.245
Ti1 0.000 0.500 0.000
Ti2 0.500 0.000 0.000

***

# KZr2P

A geometry-optimized KZr2P structure (GGA-PBEsol, Alexandria via LeMat-Bulk).

Output
The total magnetization comes out at 0.00 μB per atom. The value obtained for the uncorrected energy is -6.621 eV per atom.

Cell lengths 3.596, 3.596, 9.862 Å; angles 79.50, 79.50, 60.00 degrees
Positions (direct):
P1 0.000 0.000 0.000
K1 0.500 0.500 0.500
Zr1 0.284 0.284 0.147
Zr2 0.716 0.716 0.853

***

# Li3Fe3O8

A geometry-optimized Li3Fe3O8 structure (GGA-PBEsol, Alexandria via LeMat-Bulk).

Output
The total magnetization comes out at 0.50 μB per atom. The calculation puts the uncorrected formation energy at -1.5227 eV per atom.

Cell lengths 5.567, 5.567, 5.762 Å; angles 61.11, 61.11, 60.00 degrees
Positions (direct):
Li1 0.379 0.379 0.863
Li2 0.000 0.000 0.000
Li3 0.621 0.621 0.137
O1 0.791 0.250 0.710
O2 0.250 0.791 0.710
O3 0.750 0.209 0.290
O4 0.762 0.762 0.713
O5 0.750 0.750 0.290
O6 0.250 0.250 0.710
O7 0.238 0.238 0.287
O8 0.209 0.750 0.290
Fe1 0.500 0.000 0.500
Fe2 0.000 0.000 0.500
Fe3 0.000 0.500 0.500

***

# Ta2TlAg

A geometry-optimized Ta2TlAg structure (GGA-PBEsol, Alexandria via LeMat-Bulk).

Output
The total magnetization comes out at 0.00 μB per atom. The value obtained for the uncorrected energy is -7.393 eV per atom.

Cell lengths 3.490, 3.490, 6.173 Å; angles 90.00, 90.00, 90.00 degrees
Positions (direct):
Ta1 0.000 0.000 0.018
Ta2 0.500 0.500 0.221
Tl1 0.000 0.000 0.508
Ag1 0.500 0.500 0.753

***

# Ce2Ni21B6

A geometry-optimized Ce2Ni21B6 structure (GGA-PBEsol, Alexandria via LeMat-Bulk).

Output
The total magnetization comes out at 0.00 μB per atom. The value obtained for the uncorrected energy is -6.738 eV per atom.

Cell lengths 7.462, 7.462, 7.462 Å; angles 60.00, 60.00, 60.00 degrees
Positions (direct):
B1 0.268 0.268 0.732
B2 0.732 0.732 0.268
B3 0.732 0.268 0.268
B4 0.732 0.268 0.732
B5 0.268 0.732 0.268
B6 0.268 0.732 0.732
Ni1 0.387 0.387 0.840
Ni2 0.000 0.662 0.000
Ni3 0.662 0.000 0.000
Ni4 0.613 0.613 0.613
Ni5 0.338 0.000 0.000
Ni6 0.000 0.338 0.000
Ni7 0.613 0.160 0.613
Ni8 0.000 0.000 0.000
Ni9 0.160 0.613 0.613
Ni10 0.000 0.000 0.662
Ni11 0.613 0.613 0.160
Ni12 0.000 0.662 0.338
Ni13 0.000 0.338 0.662
Ni14 0.338 0.662 0.000
Ni15 0.840 0.387 0.387
Ni16 0.387 0.840 0.387
Ni17 0.662 0.338 0.000
Ni18 0.338 0.000 0.662
Ni19 0.000 0.000 0.338
Ni20 0.387 0.387 0.387
Ni21 0.662 0.000 0.338
Ce1 0.250 0.250 0.250
Ce2 0.750 0.750 0.750

***

# Si2AgSb

A geometry-optimized Si2AgSb structure (GGA-PBEsol, Alexandria via LeMat-Bulk).

Output
The total magnetization comes out at 0.00 μB per atom. The calculation puts the uncorrected formation energy at 0.4696 eV per atom.

Cell lengths 4.491, 4.858, 4.491 Å; angles 62.47, 90.00, 117.53 degrees
Positions (direct):
Sb1 0.750 0.500 0.750
Si1 0.000 0.000 0.000
Si2 0.250 0.500 0.250
Ag1 0.500 0.000 0.500

***

# Li2VS2O8

A geometry-optimized Li2VS2O8 structure (GGA-PBEsol, Alexandria via LeMat-Bulk).

Output
The total magnetization comes out at 0.23 μB per atom. The calculation puts the uncorrected formation energy at -1.7376 eV per atom.

Cell lengths 9.120, 9.234, 13.644 Å; angles 90.00, 90.00, 90.00 degrees
Positions (direct):
O1 0.503 0.020 0.846
O2 0.246 0.257 0.405
O3 0.497 0.980 0.154
O4 0.033 0.293 0.504
O5 0.773 0.687 0.918
O6 0.503 0.520 0.654
O7 0.799 0.502 0.524
O8 0.458 0.526 0.169
O9 0.017 0.225 0.721
O10 0.017 0.725 0.779
O11 0.542 0.474 0.831
O12 0.736 0.428 0.722
O13 0.517 0.775 0.779
O14 0.542 0.974 0.669
O15 0.701 0.002 0.476
O16 0.483 0.725 0.279
O17 0.273 0.813 0.918
O18 0.533 0.707 0.996
O19 0.764 0.928 0.278
O20 0.701 0.502 0.024
O21 0.033 0.793 0.996
O22 0.467 0.793 0.496
O23 0.497 0.480 0.346
O24 0.746 0.243 0.405
O25 0.201 0.498 0.476
O26 0.003 0.480 0.846
O27 0.983 0.275 0.221
O28 0.736 0.928 0.778
O29 0.254 0.757 0.595
O30 0.997 0.020 0.346
O31 0.299 0.998 0.524
O32 0.727 0.687 0.418
O33 0.727 0.187 0.082
O34 0.264 0.072 0.222
O35 0.967 0.707 0.496
O36 0.754 0.743 0.595
O37 0.533 0.207 0.504
O38 0.764 0.428 0.222
O39 0.254 0.257 0.905
O40 0.958 0.474 0.331
O41 0.273 0.313 0.582
O42 0.483 0.225 0.221
O43 0.458 0.026 0.331
O44 0.997 0.520 0.154
O45 0.517 0.275 0.721
O46 0.299 0.498 0.976
O47 0.246 0.757 0.095
O48 0.227 0.813 0.418
O49 0.236 0.072 0.722
O50 0.799 0.002 0.976
O51 0.201 0.998 0.024
O52 0.773 0.187 0.582
O53 0.042 0.526 0.669
O54 0.967 0.207 0.004
O55 0.264 0.572 0.278
O56 0.236 0.572 0.778
O57 0.003 0.980 0.654
O58 0.227 0.313 0.082
O59 0.467 0.293 0.004
O60 0.983 0.775 0.279
O61 0.958 0.974 0.169
O62 0.754 0.243 0.905
O63 0.042 0.026 0.831
O64 0.746 0.743 0.095
S1 0.811 0.661 0.510
S2 0.927 0.926 0.273
S3 0.189 0.339 0.490
S4 0.073 0.074 0.727
S5 0.573 0.926 0.773
S6 0.427 0.074 0.227
S7 0.427 0.574 0.273
S8 0.573 0.426 0.727
S9 0.689 0.661 0.010
S10 0.073 0.574 0.773
S11 0.689 0.161 0.490
S12 0.927 0.426 0.227
S13 0.311 0.839 0.510
S14 0.189 0.839 0.010
S15 0.311 0.339 0.990
S16 0.811 0.161 0.990
Li1 0.281 0.533 0.626
Li2 0.781 0.967 0.626
Li3 0.545 0.226 0.871
Li4 0.281 0.033 0.874
Li5 0.955 0.726 0.129
Li6 0.219 0.533 0.126
Li7 0.045 0.274 0.871
Li8 0.781 0.467 0.874
Li9 0.955 0.226 0.371
Li10 0.045 0.774 0.629
Li11 0.219 0.033 0.374
Li12 0.455 0.774 0.129
Li13 0.455 0.274 0.371
Li14 0.719 0.467 0.374
Li15 0.719 0.967 0.126
Li16 0.545 0.726 0.629
V1 0.100 0.639 0.378
V2 0.600 0.861 0.378
V3 0.900 0.861 0.878
V4 0.400 0.139 0.622
V5 0.400 0.639 0.878
V6 0.600 0.361 0.122
V7 0.100 0.139 0.122
V8 0.900 0.361 0.622

***

# ReIr3

A geometry-optimized ReIr3 structure (GGA-PBEsol, Alexandria via LeMat-Bulk).

Output
The total magnetization comes out at 0.00 μB per atom. The value obtained for the uncorrected energy is -10.799 eV per atom.

Cell lengths 2.729, 4.745, 5.154 Å; angles 117.41, 105.35, 90.00 degrees
Positions (direct):
Ir1 0.500 0.835 0.000
Ir2 0.748 0.747 0.495
Ir3 0.252 0.252 0.505
Re1 0.000 0.333 0.000